Entry 1:
DFT (PBE) results for a relaxed Li2MnOs crystal.

a b c (Å): 5.6953 5.6953 5.6953
angles (deg): 90.00 90.00 90.00
Last column: nearest neighbours and their distance in Å.
Space group Fm-3m (No. 225)
Unique sites:
1 Li 0.2500 0.2500 0.2500  4 Mn 2.47, 4 Os 2.47
2 Mn 0.0000 0.0000 0.0000  8 Li 2.47
3 Os 0.0000 0.0000 0.5000  8 Li 2.47

The calculation puts the raw total energy at -5.1750 eV per atom. For the total magnetic moment, the calculation gives 0.00 μB per formula unit. Its relative energy among the computed polymorphs is 270 kJ/mol of formula units. The value obtained for the calculated formation energy is 0.88 eV per atom.

Entry 2:
DFT (PBE) results for a relaxed LiMnOs2 crystal.

a b c (Å): 2.9005 2.9005 6.4419
angles (deg): 90.00 90.00 90.00
Last column: nearest neighbours and their distance in Å.
Space group P4mm (No. 99)
Unique sites:
1 Li 0.0000 0.0000 0.0000  4 Mn 2.53, 4 Os 2.56
2 Mn 0.5000 0.5000 0.2303  4 Li 2.53, 4 Os 2.73
3 Os 0.0000 0.0000 0.5098  8 Os 2.62-2.90, 4 Mn 2.73
4 Os 0.5000 0.5000 0.7620  4 Li 2.56, 4 Os 2.62

The calculation puts the raw total energy at -8.0735 eV per atom. For the total magnetic moment, the calculation gives 4.15 μB per formula unit. Its relative energy among the computed polymorphs is 72 kJ/mol of formula units. The value obtained for the calculated formation energy is 0.31 eV per atom.

Entry 3:
DFT (PBE) results for a relaxed Li2MnOs crystal.

a b c (Å): 2.5695 4.6144 4.6047
angles (deg): 90.00 94.63 90.00
Last column: nearest neighbours and their distance in Å.
Space group P2/m (No. 10)
Unique sites:
1 Li 0.2264 0.0000 0.2371  3 Li 2.39-2.57, 2 Os 2.67
2 Mn 0.0000 0.5000 0.5000  4 Os 2.54-2.73, 2 Mn 2.57, 4 Li 2.69
3 Os 0.5000 0.5000 0.0000  4 Mn 2.54-2.73, 2 Os 2.57, 4 Li 2.67

The calculation puts the raw total energy at -5.8594 eV per atom. For the total magnetic moment, the calculation gives 3.09 μB per formula unit. Its relative energy among the computed polymorphs is 6 kJ/mol of formula units. The value obtained for the calculated formation energy is 0.20 eV per atom.

Entry 4:
DFT (PBE) results for a relaxed Li2MnOs crystal.

a b c (Å): 2.5556 3.9765 5.3069
angles (deg): 90.00 100.62 90.00
Last column: nearest neighbours and their distance in Å.
Space group Pm (No. 6)
Unique sites:
1 Li 0.0000 0.0000 0.0000  6 Li 2.48-2.74, 2 Mn 2.64, 1 Os 2.65
2 Li 0.3168 0.5000 0.7941  6 Li 2.48-2.74, 1 Mn 2.52, 2 Os 2.76
3 Mn 0.9426 0.5000 0.3201  4 Os 2.42-2.58, 3 Li 2.52-2.64, 2 Mn 2.56
4 Os 0.5624 0.0000 0.4734  4 Mn 2.42-2.58, 2 Os 2.56, 1 Li 2.65

The calculation puts the raw total energy at -5.8555 eV per atom. For the total magnetic moment, the calculation gives 0.30 μB per formula unit. Its relative energy among the computed polymorphs is 7 kJ/mol of formula units. The value obtained for the calculated formation energy is 0.20 eV per atom.

Entry 5:
DFT (PBE) results for a relaxed LiMnOs4 crystal.

a b c (Å): 7.2606 7.2606 7.2606
angles (deg): 90.00 90.00 90.00
Last column: nearest neighbours and their distance in Å.
Space group F-43m (No. 216)
Unique sites:
1 Li 0.0000 0.0000 0.0000  12 Os 3.01, 4 Mn 3.14
2 Mn 0.2500 0.2500 0.7500  12 Os 3.01, 4 Li 3.14
3 Os 0.1249 0.1249 0.3751  6 Os 2.57

The calculation puts the raw total energy at -8.7795 eV per atom. For the total magnetic moment, the calculation gives 3.09 μB per formula unit. The value obtained for the calculated formation energy is 0.55 eV per atom.

Entry 6:
DFT (PBE) results for a relaxed LiMnOs2 crystal.

a b c (Å): 2.7406 4.4240 9.2828
angles (deg): 90.00 90.00 90.00
Last column: nearest neighbours and their distance in Å.
Space group Immm (No. 71)
Unique sites:
1 Li 0.0000 0.0000 0.0000  4 Mn 2.60, 2 Li 2.74
2 Mn 0.0000 0.0000 0.5000  4 Os 2.47, 4 Li 2.60, 2 Mn 2.74
3 Os 0.0000 0.5000 0.2217  2 Mn 2.47, 6 Os 2.65-2.74

The calculation puts the raw total energy at -8.1842 eV per atom. For the total magnetic moment, the calculation gives 2.26 μB per formula unit. Its relative energy among the computed polymorphs is 30 kJ/mol of formula units. The value obtained for the calculated formation energy is 0.20 eV per atom.

Entry 7:
DFT (PBE) results for a relaxed Li2MnOs crystal.

a b c (Å): 2.6359 2.6359 27.9725
angles (deg): 90.00 90.00 120.00
Last column: nearest neighbours and their distance in Å.
Space group R-3m (No. 166, hexagonal axes)
Unique sites:
1 Li 0.0000 0.0000 0.2481  6 Li 2.64, 3 Os 2.74, 3 Mn 2.83
2 Mn 0.0000 0.0000 0.0000  6 Mn 2.64, 6 Li 2.83
3 Os 0.0000 0.0000 0.5000  6 Os 2.64, 6 Li 2.74

The calculation puts the raw total energy at -5.8012 eV per atom. For the total magnetic moment, the calculation gives 3.01 μB per formula unit. Its relative energy among the computed polymorphs is 28 kJ/mol of formula units. The value obtained for the calculated formation energy is 0.26 eV per atom.

Entry 8:
DFT (PBE) results for a relaxed Li2MnOs crystal.

a b c (Å): 3.4387 3.4387 8.8309
angles (deg): 90.00 90.00 90.00
Last column: nearest neighbours and their distance in Å.
Space group I4/mmm (No. 139)
Unique sites:
1 Li 0.0000 0.5000 0.2500  4 Li 2.43
2 Mn 0.0000 0.0000 0.0000  4 Os 2.43
3 Os 0.0000 0.0000 0.5000  4 Mn 2.43

The calculation puts the raw total energy at -5.7289 eV per atom. For the total magnetic moment, the calculation gives 1.69 μB per formula unit. Its relative energy among the computed polymorphs is 56 kJ/mol of formula units. The value obtained for the calculated formation energy is 0.33 eV per atom.